(1)
Pr6As2S3I, relaxed, DFT GGA-PBE; DFT total energy = -5.99 eV per atom; ΔE_f (raw) = -1668 meV/atom
1.0
-2.4130 0.1398 -3.4709
4.0531 -6.8765 -3.0947
-5.8331 -3.7552 6.4811
Pr As S I
6 2 3 1
Direct
0.6666 0.5846 0.3331
0.9997 0.7128 0.9994
0.3334 0.4154 0.6669
0.0003 0.2872 0.0006
0.3185 0.9102 0.6370
0.6815 0.0898 0.3630
0.8342 0.6697 0.6685
0.1658 0.3303 0.3315
0.8387 0.1674 0.6774
0.1613 0.8326 0.3226
0.5000 0.5000 0.0000
0.5000 0.0000 0.0000

(2)
Pr8As3SI4, relaxed, DFT GGA-PBE; DFT total energy = -5.26 eV per atom; ΔE_f (raw) = -1355 meV/atom
1.0
8.6519 0.0000 0.0000
0.0000 9.1912 0.3797
-4.3259 -4.3260 6.1179
Pr I As S
8 4 3 1
Direct
0.2687 0.3062 0.5374
0.7762 0.3095 0.5524
0.2238 0.6904 0.9667
0.7313 0.6938 0.4626
0.7429 0.6904 0.9667
0.2571 0.3096 0.0333
0.2238 0.6905 0.4476
0.7762 0.3096 0.0333
0.0000 0.0000 0.5000
0.5000 0.0000 0.5000
0.0000 0.0000 0.0000
0.5000 0.0000 0.0000
0.5000 0.5000 0.0000
0.5000 0.5000 0.5000
0.0000 0.5000 0.5000
0.0000 0.5000 0.0000

(3)
Pr4AsSI2, relaxed, DFT GGA-PBE; DFT total energy = -5.27 eV per atom; ΔE_f (raw) = -1395 meV/atom
1.0
4.3091 0.0000 0.0000
0.0000 7.3783 0.0935
0.0000 -2.6207 7.6877
Pr I S As
4 2 1 1
Direct
0.0000 0.7170 0.1874
0.5000 0.2430 0.1910
0.0000 0.2830 0.8126
0.5000 0.7570 0.8090
0.5000 0.0000 0.5000
0.0000 0.5000 0.5000
0.5000 0.5000 0.0000
0.0000 0.0000 0.0000

(4)
Pr6AsS2I3, relaxed, DFT GGA-PBE; DFT total energy = -5.27 eV per atom; ΔE_f (raw) = -1421 meV/atom
1.0
7.3825 -0.0031 -0.0002
-3.6922 6.3929 -0.0002
-1.2311 -2.1317 7.6864
As Pr I S
1 6 3 2
Direct
0.0000 0.0000 0.0000
0.0629 0.4061 0.1884
0.2811 0.2811 0.8129
0.4061 0.0629 0.1884
0.5939 0.9371 0.8116
0.7189 0.7189 0.1871
0.9371 0.5939 0.8116
0.8363 0.1637 0.5000
0.1637 0.8363 0.5000
0.5000 0.5000 0.5000
0.6670 0.3330 0.0000
0.3330 0.6670 0.0000